Record 1
{
  "formula": "Sr2ScRh",
  "functional": "GGA-PBE",
  "state": "optimized geometry",
  "cell": [[10.719, 0.021, 0.012], [10.068, 3.677, 0.012], [10.068, 1.791, 3.212]],
  "species": ["Rh", "Sr", "Sr", "Sc"],
  "frac_coords": [[0.250, 0.250, 0.250], [0.982, 0.982, 0.982], [0.518, 0.518, 0.518], [0.750, 0.750, 0.750]],
  "formation_energy_ev_per_atom": 0.262,
  "magnetic_moment_mub_per_atom": 0.271,
  "total_energy_ev_per_atom": -4.000,
  "space_group": "No. 166"
}

Record 2
{
  "formula": "CaTlSbCl6",
  "functional": "GGA-PBE",
  "state": "optimized geometry",
  "cell": [[7.109, 0.000, -0.001], [3.554, 6.157, 0.000], [0.000, 0.000, 6.977]],
  "species": ["Tl", "Cl", "Cl", "Cl", "Cl", "Cl", "Sb", "Cl", "Ca"],
  "frac_coords": [[0.000, 0.000, 0.000], [0.628, 0.008, 0.282], [0.008, 0.363, 0.282], [0.008, 0.628, 0.718], [0.628, 0.363, 0.718], [0.363, 0.008, 0.718], [0.333, 0.333, 0.500], [0.363, 0.628, 0.282], [0.667, 0.667, 0.500]],
  "magnetic_moment_mub_per_atom": 0.000,
  "total_energy_ev_per_atom": -3.603,
  "space_group": "No. 149",
  "e_form_raw_ev_per_atom": -1.43
}

Repeat the first record exactly.
{
  "formula": "Sr2ScRh",
  "functional": "GGA-PBE",
  "state": "optimized geometry",
  "cell": [[10.719, 0.021, 0.012], [10.068, 3.677, 0.012], [10.068, 1.791, 3.212]],
  "species": ["Rh", "Sr", "Sr", "Sc"],
  "frac_coords": [[0.250, 0.250, 0.250], [0.982, 0.982, 0.982], [0.518, 0.518, 0.518], [0.750, 0.750, 0.750]],
  "formation_energy_ev_per_atom": 0.262,
  "magnetic_moment_mub_per_atom": 0.271,
  "total_energy_ev_per_atom": -4.000,
  "space_group": "No. 166"
}

Number 1 is which compound?
Sr2ScRh